Compound: Dy2AlGa6Cu
Source: Alexandria
Functional: PBE
Structure: relaxed

Cell and atoms, written as extended XYZ:
```
20
Lattice="-4.8093 -3.3355 -2.2569 0.0542 -1.9406 -5.9648 3.7736 -11.7078 0.5449" Properties=species:S:1:pos:R:3 pbc="T T T"
Ga -0.7867 -9.6740 -1.4609
Ga -0.0077 -12.7855 -2.4372
Ga -0.2276 -6.1358 -2.6069
Ga -3.1337 -5.6964 -6.2532
Ga -0.9738 -4.1984 -5.2396
Ga -3.1580 -4.8249 -3.5743
Ga -0.7539 -10.8481 -5.0699
Ga -0.1948 -7.3100 -6.2159
Ga -3.1375 -8.1540 -3.9724
Ga 2.1522 -11.2875 -1.4236
Ga 2.1765 -12.1590 -4.1024
Ga 2.1560 -8.8299 -3.7044
Cu 0.6014 -10.5197 -3.1688
Cu -1.5829 -6.4642 -4.5080
Al -0.4908 -8.4920 -3.8384
Al 0.0000 0.0000 0.0000
Dy -2.8463 -8.8201 -7.0514
Dy 1.8648 -8.1638 -0.6254
Dy 0.1158 -14.3196 -5.2353
Dy -1.0973 -2.6643 -2.4415
```

Output
SG ... R-3m
Energy of formation from the pure elements ... -0.23 eV/atom
Final energy ... -3.754 eV per atom